This record from Alexandria describes a geometry-optimized YWBrO4 structure. The functional is GGA+U.

Values from the calculation:
As for the total energy: -51.698 eV/f.u. The value obtained for the energy above the most stable polymorph in this dataset is 7 meV/atom.

extended XYZ file:
```
14
Lattice="5.3156 -3.6689 0.0000 5.3156 3.6689 0.0000 -2.1186 0.0000 6.7000" Properties=species:S:1:pos:R:3 pbc="T T T"
Y 2.1842 0.0000 0.8211
Y 6.3284 0.0000 5.8789
W 2.3251 0.0000 4.9312
W 6.1874 0.0000 1.7688
Br -1.4822 0.0000 5.0705
Br 9.9947 0.0000 1.6295
O 1.4097 1.4096 5.6626
O 2.2129 0.0000 3.1384
O 4.4458 0.0000 1.2794
O 1.4097 -1.4096 5.6626
O 7.1028 1.4096 1.0374
O 4.0667 0.0000 5.4206
O 6.2997 0.0000 3.5616
O 7.1028 -1.4096 1.0374
```